1.
Below is a relaxed structure of BaIn4Ag2, with properties calculated at the PBE level.

Calculated values
Excess energy over the best structure of this formula in the dataset ... 0.70 kcal/mol of atoms
Space-group type ... No. 65
Energy relative to the elements ... -0.218 eV/atom
Crystal system ... orthorhombic
Size of the total moment ... 0.00 μB per formula unit

Lattice parameters (Å, degrees): 8.463 8.463 4.848 90.00 90.00 146.48
Fractional positions:
1 Ba 0.000 0.000 0.000
2 In 0.180 0.820 0.500
3 In 0.314 0.686 0.000
4 In 0.686 0.314 0.000
5 In 0.820 0.180 0.500
6 Ag 0.414 0.586 0.500
7 Ag 0.586 0.414 0.500

2.
Below is a relaxed structure of Y2MnCo, with properties calculated at the PBE level.

Calculated values
Excess energy over the best structure of this formula in the dataset ... 8.88 kcal/mol of atoms
Space-group type ... No. 216
Energy relative to the elements ... 0.325 eV/atom
Crystal system ... cubic
Size of the total moment ... 4.84 μB per formula unit

Lattice parameters (Å, degrees): 4.825 4.825 4.825 60.00 60.00 60.00
Fractional positions:
1 Y 0.000 0.000 0.000
2 Y 0.250 0.250 0.250
3 Mn 0.750 0.750 0.750
4 Co 0.500 0.500 0.500

3.
Below is a relaxed structure of ZrCrCl2, with properties calculated at the PBE level.

Calculated values
Excess energy over the best structure of this formula in the dataset ... 9.82 kcal/mol of atoms
Space-group type ... No. 10
Formation energy from raw total energies ... -0.262 eV/atom
Crystal system ... monoclinic
Size of the total moment ... 3.14 μB per formula unit

Lattice parameters (Å, degrees): 3.340 4.363 5.474 90.00 94.69 90.00
Fractional positions:
1 Zr 0.000 0.000 0.000
2 Cr 0.500 0.000 0.500
3 Cl 0.223 0.500 0.250
4 Cl 0.777 0.500 0.750

4.
Below is a relaxed structure of CaSi2Os, with properties calculated at the PBE level.

Calculated values
Space-group type ... No. 38
Formation energy from raw total energies ... -0.066 eV/atom
Crystal system ... orthorhombic
Size of the total moment ... 0.00 μB per formula unit

Lattice parameters (Å, degrees): 3.364 4.729 4.729 80.34 90.00 90.00
Fractional positions:
1 Ca 0.000 0.000 0.000
2 Si 0.500 0.507 0.883
3 Si 0.500 0.883 0.507
4 Os 0.500 0.392 0.392